LiFeSiO4 | meta-GGA SCAN | single point on PBEsol structure

Cell: 10.0696 5.8212 4.7579 Å, 90.00 90.00 90.00°
Space group Pnma (No. 62)
Inequivalent atoms, fractional coordinates:
Li: 0.0000 0.0000 0.0000 [4 per cell]
Fe: 0.2265 0.2500 0.4924 [4 per cell]
Si: 0.0933 0.7500 0.4417 [4 per cell]
O: 0.0574 0.2500 0.6882 [4 per cell]
O: 0.1010 0.7500 0.7811 [4 per cell]
O: 0.1709 0.5333 0.2847 [8 per cell]

Magnetization ... 20.000 μB per cell
Uncorrected formation energy ... -2.409 eV per atom